HfP2Ru | GGA-PBE | relaxed Values from VASP.

Values from the calculation:
Its total magnetic moment is 0.00 μB per atom. The total energy is -8.231 eV per atom. The calculation puts the energy relative to the elements at -2.9 eV per formula unit.

Quantum ESPRESSO input file:
```
&SYSTEM
  ibrav = 0, nat = 4, ntyp = 3
/
ATOMIC_SPECIES
Ru 101.07 Ru.upf
Hf 178.49 Hf.upf
P 30.97 P.upf
CELL_PARAMETERS angstrom
3.758 0.000 0.000
1.879 3.255 0.000
1.879 1.085 5.130
ATOMIC_POSITIONS angstrom
Ru 0.000 0.000 0.000
Hf 3.758 2.170 2.565
P 1.879 1.085 1.077
P 5.637 3.255 4.052
```

Hf3P5Ru6 | GGA-PBE | relaxed Values from VASP.

Values from the calculation:
Its total magnetic moment is 0.00 μB per atom. The total energy is -8.866 eV per atom. The calculation puts the energy relative to the elements at -11.6 eV per formula unit.

Quantum ESPRESSO input file:
```
&SYSTEM
  ibrav = 0, nat = 28, ntyp = 3
/
ATOMIC_SPECIES
Hf 178.49 Hf.upf
P 30.97 P.upf
Ru 101.07 Ru.upf
CELL_PARAMETERS angstrom
3.871 0.000 0.000
0.000 9.035 0.000
0.000 0.000 12.051
ATOMIC_POSITIONS angstrom
Hf 0.000 2.209 7.876
Hf 1.936 6.826 1.850
Hf 1.936 6.826 10.201
Hf 0.000 2.389 0.000
Hf 1.936 6.645 6.026
Hf 0.000 2.209 4.176
P 0.000 4.764 10.639
P 0.000 7.651 8.115
P 0.000 7.886 0.000
P 1.936 4.271 7.438
P 1.936 1.149 6.026
P 0.000 4.764 1.412
P 1.936 4.271 4.614
P 0.000 7.651 3.936
P 1.936 1.383 9.962
P 1.936 1.383 2.090
Ru 0.000 0.110 10.035
Ru 1.936 8.925 8.042
Ru 1.936 3.647 9.627
Ru 1.936 4.727 0.000
Ru 0.000 4.308 6.026
Ru 0.000 5.388 8.450
Ru 0.000 5.388 3.601
Ru 1.936 0.196 0.000
Ru 0.000 0.110 2.016
Ru 1.936 3.647 2.425
Ru 0.000 8.839 6.026
Ru 1.936 8.925 4.010
```

HfP2RuS | GGA-PBE | relaxed Values from VASP.

Values from the calculation:
The raw formation energy comes out at 0.78 eV per atom. Its total magnetic moment is 0.47 μB per atom. The total energy is -6.052 eV per atom.

Quantum ESPRESSO input file:
```
&SYSTEM
  ibrav = 0, nat = 5, ntyp = 4
/
ATOMIC_SPECIES
Ru 101.07 Ru.upf
S 32.06 S.upf
Hf 178.49 Hf.upf
P 30.97 P.upf
CELL_PARAMETERS angstrom
-0.611 2.818 -4.028
1.614 -3.719 -2.846
-4.500 -1.612 -0.445
ATOMIC_POSITIONS angstrom
Ru -1.749 -1.257 -3.660
S -2.250 -0.806 -0.222
Hf 0.000 0.000 0.000
P 0.807 -1.859 -1.423
P -0.306 1.409 -2.014
```

HfP2RuS | GGA-PBE | relaxed Values from VASP.

Values from the calculation:
The raw formation energy comes out at 0.37 eV per atom. Its total magnetic moment is 0.00 μB per atom. The total energy is -6.461 eV per atom.

Quantum ESPRESSO input file:
```
&SYSTEM
  ibrav = 0, nat = 5, ntyp = 4
/
ATOMIC_SPECIES
Ru 101.07 Ru.upf
S 32.06 S.upf
Hf 178.49 Hf.upf
P 30.97 P.upf
CELL_PARAMETERS angstrom
4.429 0.000 0.000
0.000 4.429 0.000
0.000 0.000 4.890
ATOMIC_POSITIONS angstrom
Ru 0.000 0.000 0.000
S 0.000 0.000 2.445
Hf 2.215 2.215 2.445
P 0.000 2.215 0.000
P 2.215 0.000 0.000
```

Hf2SiPRu | GGA-PBE | relaxed Values from VASP.

Values from the calculation:
The raw formation energy comes out at 0.72 eV per atom. Its total magnetic moment is 0.07 μB per atom. The total energy is -7.283 eV per atom.

Quantum ESPRESSO input file:
```
&SYSTEM
  ibrav = 0, nat = 5, ntyp = 4
/
ATOMIC_SPECIES
Ru 101.07 Ru.upf
Si 28.09 Si.upf
Hf 178.49 Hf.upf
P 30.97 P.upf
CELL_PARAMETERS angstrom
-2.372 3.511 2.478
-2.345 -2.899 1.862
3.292 -0.335 3.625
ATOMIC_POSITIONS angstrom
Ru -0.713 0.139 3.982
Si 0.000 0.000 0.000
Hf 1.646 -0.167 1.812
Hf -1.186 1.755 1.239
P -1.173 -1.449 0.931
```

HfTi2PRu | GGA-PBE | relaxed Values from VASP.

Values from the calculation:
Its total magnetic moment is 0.00 μB per atom. The total energy is -7.708 eV per atom. The calculation puts the energy relative to the elements at 1.9 eV per formula unit.

Quantum ESPRESSO input file:
```
&SYSTEM
  ibrav = 0, nat = 5, ntyp = 4
/
ATOMIC_SPECIES
Ru 101.07 Ru.upf
Hf 178.49 Hf.upf
P 30.97 P.upf
Ti 47.87 Ti.upf
CELL_PARAMETERS angstrom
-0.474 -4.296 1.509
0.240 -1.697 -4.755
4.548 -0.374 0.363
ATOMIC_POSITIONS angstrom
Ru 0.000 0.000 0.000
Hf 0.120 -0.849 -2.377
P 2.157 -3.183 -1.441
Ti 2.274 -0.187 0.182
Ti -0.237 -2.148 0.755
```